7
Lattice="3.601 0.000 0.000 0.000 6.538 -0.047 -1.801 -3.233 5.927" Properties=species:S:1:pos:R:3 comment="Sc2NbS4 (PBE, relaxed)" dos_ef_per_ev_atom=0.424 sg="No. 12" energy_ev_per_fu=-49.95 crystal_system=monoclinic pbc="T T T"
Nb 0.000 0.000 0.000
Sc 1.801 3.387 2.806
Sc 0.000 -0.082 3.073
S 1.801 -1.157 4.497
S 1.801 1.064 1.507
S 0.000 4.462 1.383
S 0.000 2.241 4.373